This record from Alexandria via LeMat-Bulk describes a geometry-optimized Fe4OF7 structure. The functional is GGA-PBEsol.

Computed properties:
formation energy without anion corrections: -21.52 eV/f.u.
N(E_F): 7.304 states/eV per cell
magnetic moment: 17.0 μB/cell

abc: 5.697 5.697 5.697
angles: 104.65 106.78 117.29
Site moments in Bohr magnetons follow the coordinates.
Fractional coordinates of all 12 atoms:
Fe: 0.755 0.000 0.755  3.79
Fe: 0.227 0.500 0.727  3.82
Fe: 0.982 0.725 0.257  3.79
Fe: 0.533 0.275 0.257  3.79
O: 0.957 0.500 0.457  0.39
F: 0.455 0.000 0.455  0.14
F: 0.996 0.451 0.958  0.14
F: 0.508 0.962 0.958  0.14
F: 0.508 0.549 0.546  0.14
F: 0.996 0.038 0.546  0.14
F: 0.524 0.500 0.024  0.13
F: 0.059 0.000 0.059  0.11